The following is a SCAN calculation of a PBEsol-optimized structure of TlGe3B, from Alexandria via LeMat-Bulk.

* energy of formation: 2.031 eV per atom

Cell: 5.246 5.246 5.246 Å, 90.00 90.00 90.00°
Element x y z (fractional)
Ge: 0.000 0.000 0.500
Ge: 0.000 0.500 0.000
Ge: 0.500 0.000 0.000
B: 0.500 0.500 0.500
Tl: 0.000 0.000 0.000

***

The following is a SCAN calculation of a PBEsol-optimized structure of Zn2FeMo, from Alexandria via LeMat-Bulk.

* energy of formation: 0.134 eV per atom
* distance to the lowest polymorph of the same formula: 114 meV per atom

Cell: 2.858 2.858 6.405 Å, 90.00 90.00 90.00°
Element x y z (fractional)
Mo: 0.500 0.500 0.717
Zn: 0.000 0.000 0.010
Zn: 0.500 0.500 0.266
Fe: 0.000 0.000 0.506

***

Number 1: total moment 0.00 μB/cell, total energy -25.38 eV/atom. Number 2: total moment 0.00 μB/cell, total energy -19.88 eV/atom.